Below is crystalline TbPm2Eu at its relaxed geometry, with properties calculated at the PBE level.

Geometry as POSCAR:
```
TbPm2Eu
1.0
0.000 4.124 4.124
4.124 0.000 4.124
4.124 4.124 0.000
Tb Pm Eu
1 2 1
Direct
0.000 0.000 0.000
0.250 0.250 0.250
0.750 0.750 0.750
0.500 0.500 0.500
```

Values from the calculation:
theoretical density = 7.115 Mg/m³
DFT formation energy = 0.145 eV per atom
E above lowest polymorph = 0.42 eV/f.u.
total energy = -23.83 eV/cell
space-group type = Fm-3m (225)

Below is crystalline TbPm2Eu at its relaxed geometry, with properties calculated at the PBE level.

Geometry as POSCAR:
```
TbPm2Eu
1.0
3.670 0.000 0.000
0.000 3.670 0.000
0.000 0.000 10.447
Tb Pm Eu
1 2 1
Direct
0.000 0.000 0.000
0.500 0.500 0.235
0.500 0.500 0.765
0.000 0.000 0.500
```

Values from the calculation:
theoretical density = 7.091 Mg/m³
DFT formation energy = 0.039 eV per atom
E above lowest polymorph = 0.00 eV/f.u.
total energy = -24.25 eV/cell
space-group type = P4/mmm (123)

Below is crystalline TbPm2Eu at its relaxed geometry, with properties calculated at the PBE level.

Geometry as POSCAR:
```
TbPm2Eu
1.0
5.186 0.000 0.000
0.000 5.186 0.000
0.000 0.000 5.169
Tb Pm Eu
1 2 1
Direct
0.000 0.000 0.000
0.000 0.500 0.500
0.500 0.000 0.500
0.500 0.500 0.000
```

Values from the calculation:
theoretical density = 7.177 Mg/m³
DFT formation energy = 0.073 eV per atom
E above lowest polymorph = 0.14 eV/f.u.
total energy = -24.11 eV/cell
space-group type = P4/mmm (123)

Below is crystalline Tb4PmEu at its relaxed geometry, with properties calculated at the PBE level.

Geometry as POSCAR:
```
Tb4PmEu
1.0
0.000 4.753 4.753
4.753 0.000 4.753
4.753 4.753 0.000
Tb Pm Eu
4 1 1
Direct
0.123 0.123 0.123
0.123 0.123 0.630
0.123 0.630 0.123
0.630 0.123 0.123
0.750 0.750 0.750
0.500 0.500 0.500
```

Values from the calculation:
theoretical density = 7.212 Mg/m³
DFT formation energy = 0.245 eV per atom
total energy = -32.08 eV/cell
space-group type = F-43m (216)

Below is crystalline PmEuTc4 at its relaxed geometry, with properties calculated at the PBE level.

Geometry as POSCAR:
```
PmEuTc4
1.0
0.000 3.864 3.864
3.864 0.000 3.864
3.864 3.864 0.000
Pm Eu Tc
1 1 4
Direct
0.000 0.000 0.000
0.250 0.250 0.250
0.125 0.625 0.625
0.625 0.125 0.625
0.625 0.625 0.125
0.625 0.625 0.625
```

Values from the calculation:
theoretical density = 9.912 Mg/m³
DFT formation energy = 0.121 eV per atom
total energy = -55.76 eV/cell
space-group type = F-43m (216)

Below is crystalline PmEuTe2 at its relaxed geometry, with properties calculated at the PBE level.

Geometry as POSCAR:
```
PmEuTe2
1.0
0.000 3.912 3.912
3.912 0.000 3.912
3.912 3.912 0.000
Pm Eu Te
1 1 2
Direct
0.000 0.000 0.000
0.500 0.500 0.500
0.250 0.250 0.250
0.750 0.750 0.750
```

Values from the calculation:
theoretical density = 7.659 Mg/m³
E above lowest polymorph = 0.12 eV/f.u.
total energy = -26.66 eV/cell
E_form (uncorrected) = -1.34 eV/atom
space-group type = Fm-3m (225)

Below is crystalline PmEuTe2 at its relaxed geometry, with properties calculated at the PBE level.

Geometry as POSCAR:
```
PmEuTe2
1.0
2.269 1.310 9.627
-2.269 1.310 9.627
0.000 -2.621 9.627
Pm Eu Te
1 1 2
Direct
0.000 0.000 0.000
0.500 0.500 0.500
0.103 0.103 0.103
0.897 0.897 0.897
```

Values from the calculation:
theoretical density = 5.338 Mg/m³
E above lowest polymorph = 1.92 eV/f.u.
total energy = -24.86 eV/cell
E_form (uncorrected) = -0.89 eV/atom
space-group type = R-3m (166)

Below is crystalline PmEuTe2 at its relaxed geometry, with properties calculated at the PBE level.

Geometry as POSCAR:
```
PmEuTe2
1.0
3.917 0.000 0.000
0.000 3.917 0.000
0.000 0.000 7.864
Pm Eu Te
1 1 2
Direct
0.000 0.000 0.000
0.000 0.000 0.500
0.500 0.500 0.239
0.500 0.500 0.761
```

Values from the calculation:
theoretical density = 7.600 Mg/m³
E above lowest polymorph = 0.00 eV/f.u.
total energy = -26.78 eV/cell
E_form (uncorrected) = -1.37 eV/atom
space-group type = P4/mmm (123)

Below is crystalline PmEu2Th at its relaxed geometry, with properties calculated at the PBE level.

Geometry as POSCAR:
```
PmEu2Th
1.0
1.779 1.027 13.178
-1.779 1.027 13.178
0.000 -2.054 13.178
Pm Eu Th
1 2 1
Direct
0.000 0.000 0.000
0.413 0.413 0.413
0.587 0.587 0.587
0.500 0.500 0.500
```

Values from the calculation:
theoretical density = 7.830 Mg/m³
DFT formation energy = 0.262 eV per atom
total energy = -31.67 eV/cell
space-group type = R-3m (166)

Below is crystalline PmEuTh2 at its relaxed geometry, with properties calculated at the PBE level.

Geometry as POSCAR:
```
PmEuTh2
1.0
5.064 0.000 0.000
0.000 5.064 0.000
0.000 0.000 5.242
Pm Eu Th
1 1 2
Direct
0.000 0.000 0.000
0.500 0.500 0.000
0.000 0.500 0.500
0.500 0.000 0.500
```

Values from the calculation:
theoretical density = 9.401 Mg/m³
DFT formation energy = 0.158 eV per atom
E above lowest polymorph = 0.00 eV/f.u.
total energy = -29.23 eV/cell
space-group type = P4/mmm (123)

Below is crystalline PmEuTh2 at its relaxed geometry, with properties calculated at the PBE level.

Geometry as POSCAR:
```
PmEuTh2
1.0
1.769 1.021 12.781
-1.769 1.021 12.781
0.000 -2.043 12.781
Pm Eu Th
1 1 2
Direct
0.000 0.000 0.000
0.500 0.500 0.500
0.411 0.411 0.411
0.589 0.589 0.589
```

Values from the calculation:
theoretical density = 9.118 Mg/m³
DFT formation energy = 0.237 eV per atom
E above lowest polymorph = 0.32 eV/f.u.
total energy = -28.92 eV/cell
space-group type = R-3m (166)

Below is crystalline PmEuYTh at its relaxed geometry, with properties calculated at the PBE level.

Geometry as POSCAR:
```
PmEuYTh
1.0
0.000 4.099 4.099
4.099 0.000 4.099
4.099 4.099 0.000
Pm Eu Y Th
1 1 1 1
Direct
0.000 0.000 0.000
0.500 0.500 0.500
0.250 0.250 0.250
0.750 0.750 0.750
```

Values from the calculation:
theoretical density = 7.449 Mg/m³
DFT formation energy = 0.241 eV per atom
total energy = -27.94 eV/cell
space-group type = F-43m (216)